VASP calculation (GGA-PBE) on a relaxed structure of Tl2NiIr.

## Properties
M_tot (μB/cell): 0.00
Energy above the lowest structure with this stoichiometry (kJ/mol of formula units): 52
Symmetry: C2/m, No. 12

Lattice parameters (Å, degrees): 6.9672 4.8224 3.1558 89.88 63.25 125.11
Sites, in units of the cell vectors:
1 Ir 0.0000 0.5000 0.5000
2 Tl 0.5000 0.0000 0.5000
3 Tl 0.0000 0.0000 0.0000
4 Ni 0.5000 0.5000 0.0000

VASP calculation (GGA-PBE) on a relaxed structure of TlNiIr2.

## Properties
M_tot (μB/cell): 0.00
Energy above the lowest structure with this stoichiometry (kJ/mol of formula units): 0
Symmetry: C2/m, No. 12

Lattice parameters (Å, degrees): 4.7341 4.7341 4.9165 79.78 79.78 35.32
Sites, in units of the cell vectors:
1 Ir 0.0087 0.0087 0.9701
2 Ni 0.7500 0.7500 0.7500
3 Tl 0.2500 0.2500 0.2500
4 Ir 0.4913 0.4913 0.5299

no.,calculated formation energy (meV per atom)
1,491
2,356